[1]
An optimized crystal structure of BeHgGe2O6, computed with PBE.

Cell and atoms, written as CIF:
```
data_BeHgGe2O6
_chemical_formula_sum 'Be4 Hg4 Ge8 O24'
_cell_length_a 10.446
_cell_length_b 10.493
_cell_length_c 5.619
_cell_angle_alpha 90.00
_cell_angle_beta 117.05
_cell_angle_gamma 90.00
_space_group_name_H-M_alt 'C 1 2/c 1'
_space_group_IT_number 15
_space_group_name_Hall '-C 2yc'
loop_
_atom_site_label
_atom_site_fract_x
_atom_site_fract_y
_atom_site_fract_z
Be1 0.000 0.214 0.250
Hg1 0.000 0.133 0.750
Ge1 0.204 0.413 0.667
O1 0.098 0.281 0.528
O2 0.106 0.115 0.176
O3 0.171 0.458 0.941
```

Output
Raw formation energy = -1.56 eV per atom

=====

[2]
An optimized crystal structure of Zr4IrPd2, computed with PBE.

Cell and atoms, written as CIF:
```
data_Zr4IrPd2
_chemical_formula_sum 'Zr12 Ir3 Pd6'
_cell_length_a 4.6495
_cell_length_b 4.6495
_cell_length_c 23.1537
_cell_angle_alpha 90.00
_cell_angle_beta 90.00
_cell_angle_gamma 120.00
_space_group_name_H-M_alt 'R -3 m'
_space_group_IT_number 166
_space_group_name_Hall '-R 3 2"'
loop_
_atom_site_label
_atom_site_fract_x
_atom_site_fract_y
_atom_site_fract_z
Zr1 0.0000 0.0000 0.1231
Zr2 0.0000 0.0000 0.3740
Ir1 0.0000 0.0000 0.0000
Pd1 0.0000 0.0000 0.2420
```

Output
Formation enthalpy at 0 K = -0.4744 eV/atom

=====

[3]
An optimized crystal structure of Fe2GeS4, computed with PBE.

Cell and atoms, written as CIF:
```
data_Fe2GeS4
_chemical_formula_sum 'Fe8 Ge4 S16'
_cell_length_a 11.687
_cell_length_b 6.768
_cell_length_c 5.596
_cell_angle_alpha 90.00
_cell_angle_beta 90.00
_cell_angle_gamma 90.00
_space_group_name_H-M_alt 'P n m a'
_space_group_IT_number 62
_space_group_name_Hall '-P 2ac 2n'
loop_
_atom_site_label
_atom_site_fract_x
_atom_site_fract_y
_atom_site_fract_z
Fe1 0.000 0.000 0.000
Fe2 0.231 0.250 0.498
Ge1 0.093 0.750 0.558
S1 0.076 0.250 0.245
S2 0.095 0.750 0.152
S3 0.168 0.009 0.758
```

Output
Raw formation energy = -0.27 eV per atom

=====

[4]
An optimized crystal structure of La2MgOsN, computed with PBE.

Cell and atoms, written as CIF:
```
data_La2MgOsN
_chemical_formula_sum 'La2 Mg1 Os1 N1'
_cell_length_a 5.387
_cell_length_b 5.387
_cell_length_c 3.859
_cell_angle_alpha 90.00
_cell_angle_beta 90.00
_cell_angle_gamma 90.00
_space_group_name_H-M_alt 'P 4/m m m'
_space_group_IT_number 123
_space_group_name_Hall '-P 4 2'
loop_
_atom_site_label
_atom_site_fract_x
_atom_site_fract_y
_atom_site_fract_z
La1 0.000 0.500 0.000
Mg1 0.000 0.000 0.500
Os1 0.500 0.500 0.500
N1 0.500 0.500 0.000
```

Output
Raw formation energy = -0.48 eV per atom

=====

[5]
An optimized crystal structure of LiCdAu3, computed with PBE.

Cell and atoms, written as CIF:
```
data_LiCdAu3
_chemical_formula_sum 'Li2 Cd2 Au6'
_cell_length_a 4.991
_cell_length_b 4.998
_cell_length_c 7.884
_cell_angle_alpha 71.53
_cell_angle_beta 84.09
_cell_angle_gamma 72.01
_space_group_name_H-M_alt 'P -1'
_space_group_IT_number 2
_space_group_name_Hall '-P 1'
loop_
_atom_site_label
_atom_site_fract_x
_atom_site_fract_y
_atom_site_fract_z
Li1 0.250 0.143 0.213
Cd1 0.250 0.349 0.802
Au1 0.249 0.553 0.393
Au2 0.251 0.751 0.001
Au3 0.251 0.948 0.604
```

Output
Formation enthalpy at 0 K = -0.3195 eV/atom

=====

[6]
An optimized crystal structure of Y2NbCdTe, computed with PBE.

Cell and atoms, written as CIF:
```
data_Y2NbCdTe
_chemical_formula_sum 'Y2 Nb1 Cd1 Te1'
_cell_length_a 5.636
_cell_length_b 5.636
_cell_length_c 5.082
_cell_angle_alpha 90.00
_cell_angle_beta 90.00
_cell_angle_gamma 90.00
_space_group_name_H-M_alt 'P 4/m m m'
_space_group_IT_number 123
_space_group_name_Hall '-P 4 2'
loop_
_atom_site_label
_atom_site_fract_x
_atom_site_fract_y
_atom_site_fract_z
Y1 0.000 0.500 0.000
Nb1 0.000 0.000 0.500
Cd1 0.500 0.500 0.500
Te1 0.000 0.000 0.000
```

Output
Raw formation energy = 0.33 eV per atom

=====

[7]
An optimized crystal structure of Be2NiHg, computed with PBE.

Cell and atoms, written as CIF:
```
data_Be2NiHg
_chemical_formula_sum 'Be2 Ni1 Hg1'
_cell_length_a 2.853
_cell_length_b 2.911
_cell_length_c 5.799
_cell_angle_alpha 90.00
_cell_angle_beta 90.35
_cell_angle_gamma 90.00
_space_group_name_H-M_alt 'P 1 2/m 1'
_space_group_IT_number 10
_space_group_name_Hall '-P 2y'
loop_
_atom_site_label
_atom_site_fract_x
_atom_site_fract_y
_atom_site_fract_z
Be1 0.002 0.000 0.185
Ni1 0.500 0.500 0.000
Hg1 0.500 0.500 0.500
```

Output
Formation enthalpy at 0 K = 0.0263 eV/atom

=====

[8]
An optimized crystal structure of Zn2ReH4, computed with PBE.

Cell and atoms, written as CIF:
```
data_Zn2ReH4
_chemical_formula_sum 'Zn4 Re2 H8'
_cell_length_a 5.228
_cell_length_b 4.859
_cell_length_c 5.229
_cell_angle_alpha 90.00
_cell_angle_beta 93.10
_cell_angle_gamma 90.00
_space_group_name_H-M_alt 'P 1 21/m 1'
_space_group_IT_number 11
_space_group_name_Hall '-P 2yb'
loop_
_atom_site_label
_atom_site_fract_x
_atom_site_fract_y
_atom_site_fract_z
Zn1 0.015 0.250 0.369
Zn2 0.370 0.750 0.018
Re1 0.122 0.250 0.879
H1 0.158 0.750 0.323
H2 0.309 0.059 0.687
H3 0.322 0.250 0.161
```

=====

[9]
An optimized crystal structure of CaAc2Tl, computed with PBE.

Cell and atoms, written as CIF:
```
data_CaAc2Tl
_chemical_formula_sum 'Ca4 Ac8 Tl4'
_cell_length_a 6.822
_cell_length_b 8.309
_cell_length_c 13.459
_cell_angle_alpha 90.00
_cell_angle_beta 120.44
_cell_angle_gamma 90.00
_space_group_name_H-M_alt 'P 1 21/c 1'
_space_group_IT_number 14
_space_group_name_Hall '-P 2ybc'
loop_
_atom_site_label
_atom_site_fract_x
_atom_site_fract_y
_atom_site_fract_z
Ca1 0.198 0.250 0.250
Ac1 0.149 0.678 0.092
Ac2 0.466 0.678 0.908
Tl1 0.193 0.000 0.942
```

Output
Formation enthalpy at 0 K = -0.0277 eV/atom

=====

no.,electronic total energy (eV/atom)
1,-5.87
2,-8.11
3,-5.71
4,-6.68
5,-2.85
6,-5.08
7,-3.36
8,-3.97
9,-3.17